Crystalline Ce2DyTh at its relaxed geometry, computed with PBE-GGA.

Results
DFT total energy = -5.89 eV per atom
Relative energy among the computed polymorphs = 28.0 meV/atom
Calculated formation energy = 0.085 eV per atom

Cell lengths 4.8833, 4.8833, 4.9929 Å; angles 90.00, 90.00, 90.00 degrees
Closest atoms and distances in Å follow each position.
Positions (direct):
Ce  0.0000  0.5000  0.0000  4 Ce 3.45, 4 Th 3.49, 4 Dy 3.49
Ce  0.5000  0.0000  0.0000  4 Ce 3.45, 4 Th 3.49, 4 Dy 3.49
Dy  0.0000  0.0000  0.5000  4 Th 3.45, 8 Ce 3.49
Th  0.5000  0.5000  0.5000  4 Dy 3.45, 8 Ce 3.49